[1]
# Ca2Al2Zn

A relaxed Ca2Al2Zn crystal (PBE, the Alexandria database).

## Properties
electronic total energy	-2.209	eV/atom
DOS at the Fermi energy	0.53	states/eV/atom
E_form	0.344	eV/atom
V	28.65	Å³ per atom
crystal system	tetragonal

Unit cell a=4.672 b=4.672 c=13.125 alpha=90.00 beta=90.00 gamma=90.00
Element x y z (fractional)
Ca (0.000, 0.500, 0.250)
Ca (0.000, 0.500, 0.750)
Ca (0.500, 0.000, 0.250)
Ca (0.500, 0.000, 0.750)
Al (0.000, 0.000, 0.093)
Al (0.000, 0.000, 0.907)
Al (0.500, 0.500, 0.407)
Al (0.500, 0.500, 0.593)
Zn (0.000, 0.000, 0.500)
Zn (0.500, 0.500, 0.000)

[2]
# Ca3Al2Zn3

A relaxed Ca3Al2Zn3 crystal (PBE, the Alexandria database).

## Properties
electronic total energy	-2.429	eV/atom
DOS at the Fermi energy	0.60	states/eV/atom
E_form	-0.265	eV/atom
V	23.66	Å³ per atom
crystal system	orthorhombic

Unit cell a=8.455 b=14.939 c=5.994 alpha=90.00 beta=90.00 gamma=90.00
Element x y z (fractional)
Ca (0.052, 0.108, 0.121)
Ca (0.052, 0.392, 0.121)
Ca (0.197, 0.250, 0.614)
Ca (0.303, 0.750, 0.114)
Ca (0.448, 0.608, 0.621)
Ca (0.448, 0.892, 0.621)
Ca (0.552, 0.108, 0.379)
Ca (0.552, 0.392, 0.379)
Ca (0.697, 0.250, 0.886)
Ca (0.803, 0.750, 0.386)
Ca (0.948, 0.608, 0.879)
Ca (0.948, 0.892, 0.879)
Al (0.091, 0.596, 0.388)
Al (0.091, 0.904, 0.388)
Al (0.409, 0.096, 0.888)
Al (0.409, 0.404, 0.888)
Al (0.591, 0.596, 0.112)
Al (0.591, 0.904, 0.112)
Al (0.909, 0.096, 0.612)
Al (0.909, 0.404, 0.612)
Zn (0.150, 0.750, 0.607)
Zn (0.197, 0.039, 0.628)
Zn (0.197, 0.461, 0.628)
Zn (0.303, 0.539, 0.128)
Zn (0.303, 0.961, 0.128)
Zn (0.350, 0.250, 0.107)
Zn (0.650, 0.750, 0.893)
Zn (0.697, 0.039, 0.872)
Zn (0.697, 0.461, 0.872)
Zn (0.803, 0.539, 0.372)
Zn (0.803, 0.961, 0.372)
Zn (0.850, 0.250, 0.393)

[3]
# Ca2Al3Zn

A relaxed Ca2Al3Zn crystal (PBE, the Alexandria database).

## Properties
electronic total energy	-3.060	eV/atom
DOS at the Fermi energy	0.39	states/eV/atom
E_form	-0.309	eV/atom
V	22.28	Å³ per atom
crystal system	monoclinic

Unit cell a=10.763 b=4.575 c=7.460 alpha=90.00 beta=133.29 gamma=90.00
Element x y z (fractional)
Ca (0.000, 0.000, 0.000)
Ca (0.097, 0.000, 0.598)
Ca (0.500, 0.500, 0.000)
Ca (0.597, 0.500, 0.598)
Al (0.210, 0.500, 0.398)
Al (0.383, 0.000, 0.198)
Al (0.391, 0.000, 0.586)
Al (0.710, 0.000, 0.398)
Al (0.883, 0.500, 0.198)
Al (0.891, 0.500, 0.586)
Zn (0.213, 0.500, 0.024)
Zn (0.713, 0.000, 0.024)

[4]
# CaAlZn

A relaxed CaAlZn crystal (PBE, the Alexandria database).

## Properties
electronic total energy	-2.646	eV/atom
DOS at the Fermi energy	0.47	states/eV/atom
E_form	-0.306	eV/atom
V	21.90	Å³ per atom
crystal system	monoclinic

Unit cell a=10.631 b=4.540 c=7.334 alpha=90.00 beta=132.05 gamma=90.00
Element x y z (fractional)
Ca (0.048, 0.000, 0.302)
Ca (0.452, 0.500, 0.698)
Ca (0.548, 0.500, 0.302)
Ca (0.952, 0.000, 0.698)
Al (0.165, 0.500, 0.103)
Al (0.335, 0.000, 0.897)
Al (0.665, 0.000, 0.103)
Al (0.835, 0.500, 0.897)
Zn (0.164, 0.500, 0.718)
Zn (0.336, 0.000, 0.282)
Zn (0.664, 0.000, 0.718)
Zn (0.836, 0.500, 0.282)

[5]
# CaAlZn2

A relaxed CaAlZn2 crystal (PBE, the Alexandria database).

## Properties
electronic total energy	-2.181	eV/atom
DOS at the Fermi energy	0.32	states/eV/atom
E_form	-0.108	eV/atom
V	19.98	Å³ per atom
crystal system	orthorhombic

Unit cell a=4.595 b=4.842 c=7.184 alpha=90.00 beta=90.00 gamma=90.00
Element x y z (fractional)
Ca (0.000, 0.000, 0.000)
Ca (0.500, 0.500, 0.000)
Al (0.000, 0.500, 0.687)
Al (0.500, 0.000, 0.687)
Zn (0.000, 0.000, 0.487)
Zn (0.000, 0.500, 0.294)
Zn (0.500, 0.000, 0.294)
Zn (0.500, 0.500, 0.487)

[6]
# CaAlZn11

A relaxed CaAlZn11 crystal (PBE, the Alexandria database).

## Properties
electronic total energy	-1.647	eV/atom
DOS at the Fermi energy	0.19	states/eV/atom
E_form	-0.127	eV/atom
V	16.26	Å³ per atom
crystal system	monoclinic

Unit cell a=6.827 b=6.827 c=6.832 alpha=98.76 beta=98.76 gamma=133.90
Element x y z (fractional)
Ca (0.000, 0.000, 0.000)
Al (0.500, 0.500, 0.500)
Zn (0.000, 0.000, 0.500)
Zn (0.000, 0.500, 0.000)
Zn (0.003, 0.648, 0.647)
Zn (0.279, 0.500, 0.782)
Zn (0.352, 0.997, 0.353)
Zn (0.500, 0.000, 0.000)
Zn (0.500, 0.279, 0.782)
Zn (0.500, 0.721, 0.218)
Zn (0.648, 0.003, 0.647)
Zn (0.721, 0.500, 0.218)
Zn (0.997, 0.352, 0.353)

[7]
# CaAlZn2

A relaxed CaAlZn2 crystal (PBE, the Alexandria database).

## Properties
electronic total energy	-2.188	eV/atom
DOS at the Fermi energy	0.35	states/eV/atom
E_form	-0.115	eV/atom
V	20.56	Å³ per atom
crystal system	monoclinic

Unit cell a=3.441 b=4.233 c=5.897 alpha=90.00 beta=106.76 gamma=90.00
Element x y z (fractional)
Ca (0.000, 0.000, 0.000)
Al (0.314, 0.500, 0.629)
Zn (0.619, 0.500, 0.241)
Zn (0.738, 0.000, 0.481)

[8]
# CaAlZn2

A relaxed CaAlZn2 crystal (PBE, the Alexandria database).

## Properties
electronic total energy	-2.189	eV/atom
DOS at the Fermi energy	0.44	states/eV/atom
E_form	-0.116	eV/atom
V	21.11	Å³ per atom
crystal system	orthorhombic

Unit cell a=3.357 b=4.566 c=5.509 alpha=90.00 beta=90.00 gamma=90.00
Element x y z (fractional)
Ca (0.000, 0.000, 0.000)
Al (0.500, 0.000, 0.500)
Zn (0.500, 0.500, 0.252)
Zn (0.500, 0.500, 0.748)

[9]
# CaAl2Zn3

A relaxed CaAl2Zn3 crystal (PBE, the Alexandria database).

## Properties
electronic total energy	-2.401	eV/atom
DOS at the Fermi energy	0.20	states/eV/atom
E_form	-0.183	eV/atom
V	19.03	Å³ per atom
crystal system	orthorhombic

Unit cell a=6.445 b=6.445 c=5.573 alpha=90.00 beta=90.00 gamma=80.58
Element x y z (fractional)
Ca (0.171, 0.829, 0.750)
Ca (0.829, 0.171, 0.250)
Al (0.279, 0.279, 0.000)
Al (0.279, 0.279, 0.500)
Al (0.721, 0.721, 0.000)
Al (0.721, 0.721, 0.500)
Zn (0.060, 0.644, 0.250)
Zn (0.356, 0.940, 0.250)
Zn (0.452, 0.548, 0.250)
Zn (0.548, 0.452, 0.750)
Zn (0.644, 0.060, 0.750)
Zn (0.940, 0.356, 0.750)

[10]
# Ca2Al5Zn3

A relaxed Ca2Al5Zn3 crystal (PBE, the Alexandria database).

## Properties
polymorph energy (0 for the lowest one)	0.000	kcal/mol of atoms
electronic total energy	-2.917	eV/atom
DOS at the Fermi energy	0.45	states/eV/atom
E_form	-0.263	eV/atom
V	19.89	Å³ per atom
crystal system	orthorhombic

Unit cell a=8.720 b=8.720 c=8.720 alpha=98.57 beta=94.64 gamma=140.36
Element x y z (fractional)
Ca (0.127, 0.249, 0.376)
Ca (0.373, 0.749, 0.123)
Ca (0.627, 0.251, 0.877)
Ca (0.873, 0.751, 0.624)
Al (0.004, 0.750, 0.254)
Al (0.122, 0.861, 0.984)
Al (0.250, 0.750, 0.500)
Al (0.378, 0.361, 0.739)
Al (0.496, 0.750, 0.746)
Al (0.504, 0.250, 0.254)
Al (0.622, 0.639, 0.261)
Al (0.750, 0.250, 0.500)
Al (0.878, 0.139, 0.016)
Al (0.996, 0.250, 0.746)
Zn (0.123, 0.641, 0.764)
Zn (0.250, 0.250, 0.000)
Zn (0.377, 0.141, 0.518)
Zn (0.623, 0.859, 0.482)
Zn (0.750, 0.750, 0.000)
Zn (0.877, 0.359, 0.236)

[11]
# Ca4Al3Zn

A relaxed Ca4Al3Zn crystal (PBE, the Alexandria database).

## Properties
electronic total energy	-2.790	eV/atom
DOS at the Fermi energy	0.59	states/eV/atom
E_form	-0.226	eV/atom
V	26.86	Å³ per atom
crystal system	orthorhombic

Unit cell a=3.915 b=4.612 c=11.904 alpha=90.00 beta=90.00 gamma=90.00
Element x y z (fractional)
Ca (0.000, 0.000, 0.000)
Ca (0.000, 0.500, 0.297)
Ca (0.500, 0.000, 0.492)
Ca (0.500, 0.500, 0.803)
Al (0.000, 0.000, 0.712)
Al (0.000, 0.500, 0.583)
Al (0.500, 0.500, 0.087)
Zn (0.500, 0.000, 0.207)

[12]
# CaAlZn

A relaxed CaAlZn crystal (PBE, the Alexandria database).

## Properties
electronic total energy	-1.904	eV/atom
DOS at the Fermi energy	1.58	states/eV/atom
E_form	0.435	eV/atom
V	28.30	Å³ per atom
crystal system	cubic

Unit cell a=6.977 b=6.977 c=6.977 alpha=90.00 beta=90.00 gamma=90.00
Element x y z (fractional)
Ca (0.000, 0.000, 0.000)
Ca (0.000, 0.500, 0.500)
Ca (0.500, 0.000, 0.500)
Ca (0.500, 0.500, 0.000)
Al (0.250, 0.250, 0.250)
Al (0.250, 0.750, 0.750)
Al (0.750, 0.250, 0.750)
Al (0.750, 0.750, 0.250)
Zn (0.250, 0.250, 0.750)
Zn (0.250, 0.750, 0.250)
Zn (0.750, 0.250, 0.250)
Zn (0.750, 0.750, 0.750)

Among the records above, which one has the lowest V? CaAlZn11